1 | Density functional theory data (PBE) for a relaxed structure of Ga2BN.

Summary:
Crystal system: triclinic
Density (g/cm3): 4.03
Space-group type: No. 1
M_tot (Bohr magnetons per cell): 0.000

Unit cell a=2.5727 b=5.3499 c=10.2774 alpha=101.46 beta=90.61 gamma=101.99
Fractional coordinates of all 8 atoms:
Ga: 0.0073 0.9508 0.4535
Ga: 0.1722 0.3196 0.2508
Ga: 0.7306 0.4501 0.4968
Ga: 0.9001 0.7747 0.1849
N: 0.8572 0.6970 0.9915
N: 0.3019 0.5902 0.7764
B: 0.7840 0.5555 0.7091
B: 0.3404 0.6646 0.9253

***

2 | Density functional theory data (PBE) for a relaxed structure of Ga2BN.

Summary:
Crystal system: tetragonal
Density (g/cm3): 5.10
Space-group type: No. 122
M_tot (Bohr magnetons per cell): 0.000

Unit cell a=4.9458 b=4.9458 c=5.5986 alpha=63.79 beta=63.79 gamma=90.00
Fractional coordinates of all 8 atoms:
B: 0.5000 0.5000 0.0000
B: 0.2500 0.7500 0.5000
N: 0.0000 0.0000 0.0000
N: 0.7500 0.2500 0.5000
Ga: 0.3750 0.3469 0.7500
Ga: 0.6531 0.1250 0.2500
Ga: 0.8750 0.9031 0.7500
Ga: 0.0969 0.6250 0.2500

***

3 | Density functional theory data (PBE) for a relaxed structure of Ga2BN.

Summary:
Crystal system: triclinic
Density (g/cm3): 4.26
Space-group type: No. 1
M_tot (Bohr magnetons per cell): 0.000

Unit cell a=2.5809 b=4.2613 c=11.8957 alpha=89.80 beta=84.39 gamma=79.55
Fractional coordinates of all 8 atoms:
N: 0.4619 0.3691 0.9734
N: 0.0419 0.3767 0.7906
Ga: 0.8231 0.8680 0.2414
Ga: 0.2073 0.8819 0.4455
Ga: 0.6444 0.3854 0.5521
Ga: 0.3904 0.3658 0.1361
B: 0.9867 0.3714 0.9167
B: 0.5673 0.3791 0.7327

***

Which structure loses on stability? 2 does.

***

1 | Density functional theory data (PBE) for a relaxed structure of Ga2BN.

Summary:
Crystal system: triclinic
Density (g/cm3): 4.18
Space-group type: No. 1
M_tot (Bohr magnetons per cell): 0.000

Unit cell a=2.5998 b=2.5998 c=11.1708 alpha=86.95 beta=86.07 gamma=60.00
Fractional coordinates of all 4 atoms:
B: 0.9890 0.8572 0.0095
Ga: 0.7917 0.5563 0.6356
Ga: 0.8510 0.5903 0.3902
N: 0.6557 0.5238 0.0095

***

2 | Density functional theory data (PBE) for a relaxed structure of Ga2BN.

Summary:
Crystal system: monoclinic
Density (g/cm3): 3.35
Space-group type: No. 6
M_tot (Bohr magnetons per cell): 0.000

Unit cell a=6.1559 b=2.5668 c=10.3149 alpha=90.00 beta=90.10 gamma=90.00
Fractional coordinates of all 8 atoms:
B: 0.7499 0.5000 0.9265
B: 0.7507 0.0000 0.7148
Ga: 0.7508 0.0000 0.5086
Ga: 0.4655 0.5000 0.3431
Ga: 0.7500 0.0000 0.1783
Ga: 0.0354 0.5000 0.3433
N: 0.7497 0.0000 0.9920
N: 0.7505 0.5000 0.7818

***

Which structure loses on stability? 2 does.

***

1 | Density functional theory data (PBE) for a relaxed structure of Ga2BN.

Summary:
Crystal system: cubic
Density (g/cm3): 5.85
Space-group type: No. 225
M_tot (Bohr magnetons per cell): 0.002

Unit cell a=4.0399 b=4.0399 c=4.0399 alpha=60.00 beta=60.00 gamma=60.00
Fractional coordinates of all 4 atoms:
Ga: 0.7500 0.7500 0.7500
Ga: 0.2500 0.2500 0.2500
B: 0.0000 0.0000 0.0000
N: 0.5000 0.5000 0.5000

***

2 | Density functional theory data (PBE) for a relaxed structure of Ga2BN.

Summary:
Crystal system: monoclinic
Density (g/cm3): 4.28
Space-group type: No. 6
M_tot (Bohr magnetons per cell): 0.000

Unit cell a=4.1257 b=2.5777 c=11.9766 alpha=90.00 beta=90.29 gamma=90.00
Fractional coordinates of all 8 atoms:
B: 0.6280 0.5000 0.7343
B: 0.6231 0.0000 0.9163
N: 0.6263 0.0000 0.7916
N: 0.6217 0.5000 0.9723
Ga: 0.1218 0.0000 0.2367
Ga: 0.6201 0.5000 0.1332
Ga: 0.1299 0.0000 0.4478
Ga: 0.6316 0.5000 0.5562

***

Which structure loses on stability? 1 does.

***

1 | Density functional theory data (PBE) for a relaxed structure of Ga2BN.

Summary:
Crystal system: triclinic
Density (g/cm3): 3.99
Space-group type: No. 1
M_tot (Bohr magnetons per cell): 0.000

Unit cell a=2.5769 b=5.4185 c=10.2968 alpha=102.48 beta=90.24 gamma=102.78
Fractional coordinates of all 8 atoms:
Ga: 0.5280 0.5876 0.4975
Ga: 0.9673 0.4452 0.2543
Ga: 0.2480 0.0512 0.4411
Ga: 0.6906 0.9086 0.1869
B: 0.5788 0.6860 0.7101
B: 0.1296 0.7876 0.9270
N: 0.0944 0.7171 0.7779
N: 0.6454 0.8192 0.9935

***

2 | Density functional theory data (PBE) for a relaxed structure of Ga2BN.

Summary:
Crystal system: monoclinic
Density (g/cm3): 4.70
Space-group type: No. 8
M_tot (Bohr magnetons per cell): 0.000

Unit cell a=2.5786 b=6.8857 c=6.8955 alpha=105.50 beta=96.27 gamma=96.22
Fractional coordinates of all 8 atoms:
Ga: 0.8941 0.3194 0.5949
Ga: 0.8933 0.6489 0.2661
Ga: 0.5121 0.6479 0.8709
Ga: 0.5117 0.9242 0.5952
N: 0.1708 0.0790 0.0261
N: 0.8226 0.3458 0.2921
B: 0.2712 0.2560 0.2026
B: 0.6187 0.9904 0.9378

***

Which structure loses on stability? 2 does.

***

1 | Density functional theory data (PBE) for a relaxed structure of Ga2BNO.

Summary:
Crystal system: tetragonal
Density (g/cm3): 5.05
Space-group type: No. 123
M_tot (Bohr magnetons per cell): 0.576

Unit cell a=4.4639 b=2.9725 c=4.4639 alpha=90.00 beta=90.00 gamma=90.00
Each line ends with the local moment (μB).
Fractional coordinates of all 5 atoms:
B: 0.0000 0.0000 0.0000  0.00
Ga: 0.0000 0.0000 0.5000  -0.01
Ga: 0.5000 0.0000 0.0000  0.00
N: 0.5000 0.5000 0.5000  0.44
O: 0.0000 0.5000 0.0000  0.00

***

2 | Density functional theory data (PBE) for a relaxed structure of Ga2BNO.

Summary:
Crystal system: tetragonal
Density (g/cm3): 4.33
Space-group type: No. 123
M_tot (Bohr magnetons per cell): 0.000

Unit cell a=5.0952 b=2.6635 c=5.0952 alpha=90.00 beta=90.00 gamma=90.00
Fractional coordinates of all 5 atoms:
N: 0.0000 0.0000 0.0000
Ga: 0.5000 0.0000 0.0000
Ga: 0.0000 0.0000 0.5000
B: 0.0000 0.5000 0.0000
O: 0.5000 0.5000 0.5000

***

Which structure loses on stability? 1 does.

***

1 | Density functional theory data (PBE) for a relaxed structure of GaBSe2N.

Summary:
Crystal system: tetragonal
Density (g/cm3): 4.12
Space-group type: No. 123
M_tot (Bohr magnetons per cell): 0.000

Unit cell a=6.2371 b=6.2371 c=2.6160 alpha=90.00 beta=90.00 gamma=90.00
Fractional coordinates of all 5 atoms:
Se: 0.5000 0.0000 0.0000
Se: 0.0000 0.5000 0.0000
Ga: 0.5000 0.5000 0.5000
N: 0.0000 0.0000 0.5000
B: 0.0000 0.0000 0.0000

***

2 | Density functional theory data (PBE) for a relaxed structure of GaBSe2N.

Summary:
Crystal system: tetragonal
Density (g/cm3): 4.28
Space-group type: No. 123
M_tot (Bohr magnetons per cell): 1.790

Unit cell a=5.2017 b=5.2017 c=3.6200 alpha=90.00 beta=90.00 gamma=90.00
Each line ends with the local moment (μB).
Fractional coordinates of all 5 atoms:
Se: 0.5000 0.0000 0.0000  0.21
Se: 0.0000 0.5000 0.0000  0.21
Ga: 0.0000 0.0000 0.0000  -0.01
N: 0.0000 0.0000 0.5000  0.83
B: 0.5000 0.5000 0.5000  0.01

***

Which structure loses on stability? 2 does.

***

1 | Density functional theory data (PBE) for a relaxed structure of NaGa3B.

Summary:
Crystal system: cubic
Density (g/cm3): 4.32
Space-group type: No. 221
M_tot (Bohr magnetons per cell): 0.000

Unit cell a=4.5378 b=4.5378 c=4.5378 alpha=90.00 beta=90.00 gamma=90.00
Fractional coordinates of all 5 atoms:
Na: 0.5000 0.5000 0.5000
Ga: 0.0000 0.5000 0.0000
Ga: 0.0000 0.0000 0.5000
Ga: 0.5000 0.0000 0.0000
B: 0.0000 0.0000 0.0000

***

2 | Density functional theory data (PBE) for a relaxed structure of NaGa3B.

Summary:
Crystal system: cubic
Density (g/cm3): 3.02
Space-group type: No. 221
M_tot (Bohr magnetons per cell): 0.000

Unit cell a=5.1133 b=5.1133 c=5.1133 alpha=90.00 beta=90.00 gamma=90.00
Fractional coordinates of all 5 atoms:
Ga: 0.0000 0.0000 0.5000
Ga: 0.0000 0.5000 0.0000
Ga: 0.5000 0.0000 0.0000
Na: 0.0000 0.0000 0.0000
B: 0.5000 0.5000 0.5000

***

Which structure loses on stability? 2 does.

***

1 | Density functional theory data (PBE) for a relaxed structure of Na2GaB.

Summary:
Crystal system: tetragonal
Density (g/cm3): 2.85
Space-group type: No. 122
M_tot (Bohr magnetons per cell): 0.000

Unit cell a=3.8301 b=3.8301 c=10.4107 alpha=79.40 beta=79.40 gamma=90.00
Fractional coordinates of all 8 atoms:
Na: 0.8750 0.8553 0.7500
Na: 0.6053 0.1250 0.2500
Na: 0.3750 0.3947 0.7500
Na: 0.1447 0.6250 0.2500
Ga: 0.0000 0.0000 0.0000
Ga: 0.7500 0.2500 0.5000
B: 0.2500 0.7500 0.5000
B: 0.5000 0.5000 0.0000

***

2 | Density functional theory data (PBE) for a relaxed structure of Na2GaB.

Summary:
Crystal system: cubic
Density (g/cm3): 2.77
Space-group type: No. 225
M_tot (Bohr magnetons per cell): 0.000

Unit cell a=4.7527 b=4.7527 c=4.7527 alpha=60.00 beta=60.00 gamma=60.00
Fractional coordinates of all 4 atoms:
B: 0.0000 0.0000 0.0000
Na: 0.2500 0.2500 0.2500
Na: 0.7500 0.7500 0.7500
Ga: 0.5000 0.5000 0.5000

***

Which structure loses on stability? 1 does.

***

1 | Density functional theory data (PBE) for a relaxed structure of Nb2GaB.

Summary:
Crystal system: cubic
Density (g/cm3): 7.64
Space-group type: No. 225
M_tot (Bohr magnetons per cell): 0.000

Unit cell a=4.3429 b=4.3429 c=4.3429 alpha=60.00 beta=60.00 gamma=60.00
Fractional coordinates of all 4 atoms:
Nb: 0.2500 0.2500 0.2500
Nb: 0.7500 0.7500 0.7500
B: 0.0000 0.0000 0.0000
Ga: 0.5000 0.5000 0.5000

***

2 | Density functional theory data (PBE) for a relaxed structure of Nb2GaB.

Summary:
Crystal system: tetragonal
Density (g/cm3): 7.26
Space-group type: No. 122
M_tot (Bohr magnetons per cell): 0.000

Unit cell a=6.6225 b=6.6225 c=5.4443 alpha=52.54 beta=52.54 gamma=90.00
Fractional coordinates of all 8 atoms:
Nb: 0.5876 0.1250 0.2500
Nb: 0.1624 0.6250 0.2500
Nb: 0.8750 0.8376 0.7500
Nb: 0.3750 0.4124 0.7500
B: 0.2500 0.7500 0.5000
B: 0.5000 0.5000 0.0000
Ga: 0.0000 0.0000 0.0000
Ga: 0.7500 0.2500 0.5000

***

3 | Density functional theory data (PBE) for a relaxed structure of Nb2GaB.

Summary:
Crystal system: monoclinic
Density (g/cm3): 7.19
Space-group type: No. 12
M_tot (Bohr magnetons per cell): 0.000

Unit cell a=3.2050 b=3.2050 c=7.1539 alpha=90.07 beta=102.91 gamma=119.89
Fractional coordinates of all 4 atoms:
Nb: 0.4561 0.7280 0.1841
Nb: 0.5439 0.2720 0.8159
B: 0.0000 0.0000 0.0000
Ga: 0.0000 0.5000 0.5000

***

Which structure loses on stability? 1 does.

***

1 | Density functional theory data (PBE) for a relaxed structure of Nb4Ga2B.

Summary:
Crystal system: monoclinic
Density (g/cm3): 7.48
Space-group type: No. 10
M_tot (Bohr magnetons per cell): 0.000

Unit cell a=2.9817 b=5.3547 c=7.7807 alpha=111.09 beta=90.00 gamma=90.00
Fractional coordinates of all 7 atoms:
Nb: 0.5000 0.2463 0.9293
Nb: 0.0000 0.3098 0.5667
Nb: 0.5000 0.8964 0.2136
Nb: 0.0000 0.8330 0.5762
B: 0.0000 0.0714 0.0714
Ga: 0.5000 0.7004 0.8431
Ga: 0.5000 0.4425 0.2999

***

2 | Density functional theory data (PBE) for a relaxed structure of Nb4Ga2B.

Summary:
Crystal system: tetragonal
Density (g/cm3): 7.00
Space-group type: No. 139
M_tot (Bohr magnetons per cell): 0.000

Unit cell a=4.1939 b=4.1939 c=7.6359 alpha=74.06 beta=74.06 gamma=90.00
Fractional coordinates of all 7 atoms:
Ga: 0.3569 0.3569 0.2861
Ga: 0.6431 0.6431 0.7139
Nb: 0.8390 0.8390 0.3220
Nb: 0.5000 0.0000 0.0000
Nb: 0.0000 0.5000 0.0000
Nb: 0.1610 0.1610 0.6780
B: 0.0000 0.0000 0.0000

***

Which structure loses on stability? 1 does.

***

1 | Density functional theory data (PBE) for a relaxed structure of Nb4GaB.

Summary:
Crystal system: tetragonal
Density (g/cm3): 8.00
Space-group type: No. 124
M_tot (Bohr magnetons per cell): 0.000

Unit cell a=5.0840 b=6.0748 c=6.0748 alpha=90.00 beta=90.00 gamma=90.00
Fractional coordinates of all 12 atoms:
Nb: 0.0000 0.1843 0.6392
Nb: 0.5000 0.1843 0.3608
Nb: 0.5000 0.8157 0.6392
Nb: 0.0000 0.6392 0.8157
Nb: 0.5000 0.3608 0.8157
Nb: 0.0000 0.3608 0.1843
Nb: 0.0000 0.8157 0.3608
Nb: 0.5000 0.6392 0.1843
Ga: 0.7500 0.0000 0.0000
Ga: 0.2500 0.0000 0.0000
B: 0.7500 0.5000 0.5000
B: 0.2500 0.5000 0.5000

***

2 | Density functional theory data (PBE) for a relaxed structure of Nb4GaB.

Summary:
Crystal system: monoclinic
Density (g/cm3): 7.37
Space-group type: No. 14
M_tot (Bohr magnetons per cell): 0.000

Unit cell a=5.8290 b=5.8620 c=5.9604 alpha=90.00 beta=91.05 gamma=90.00
Fractional coordinates of all 12 atoms:
B: 0.5000 0.0000 0.5000
B: 0.0000 0.5000 0.5000
Nb: 0.1078 0.3822 0.8320
Nb: 0.1613 0.8448 0.6104
Nb: 0.8387 0.1552 0.3896
Nb: 0.6078 0.1178 0.8320
Nb: 0.8922 0.6178 0.1680
Nb: 0.3387 0.3448 0.3896
Nb: 0.6613 0.6552 0.6104
Nb: 0.3922 0.8822 0.1680
Ga: 0.5000 0.5000 0.0000
Ga: 0.0000 0.0000 0.0000

***

Which structure loses on stability? 2 does.

***

1 | Density functional theory data (PBE) for a relaxed structure of NbGa3B.

Summary:
Crystal system: cubic
Density (g/cm3): 4.06
Space-group type: No. 221
M_tot (Bohr magnetons per cell): 0.000

Unit cell a=5.0374 b=5.0374 c=5.0374 alpha=90.00 beta=90.00 gamma=90.00
Fractional coordinates of all 5 atoms:
Ga: 0.0000 0.5000 0.0000
Ga: 0.0000 0.0000 0.5000
Ga: 0.5000 0.0000 0.0000
Nb: 0.0000 0.0000 0.0000
B: 0.5000 0.5000 0.5000

***

2 | Density functional theory data (PBE) for a relaxed structure of NbGa3B.

Summary:
Crystal system: cubic
Density (g/cm3): 6.55
Space-group type: No. 221
M_tot (Bohr magnetons per cell): 0.220

Unit cell a=4.2956 b=4.2956 c=4.2956 alpha=90.00 beta=90.00 gamma=90.00
Each line ends with the local moment (μB).
Fractional coordinates of all 5 atoms:
Nb: 0.5000 0.5000 0.5000  0.18
Ga: 0.0000 0.0000 0.5000  0.00
Ga: 0.5000 0.0000 0.0000  0.00
Ga: 0.0000 0.5000 0.0000  0.00
B: 0.0000 0.0000 0.0000  0.01

***

Which structure loses on stability? 1 does.